PBE-GGA CeMn3Si3, relaxed; DOS at the Fermi energy = 1.667 states/eV/atom; formation energy from raw total energies = 172 meV per atom
1.0
6.343 0.000 0.000
0.000 6.343 0.000
0.000 0.000 6.343
Ce Mn Si
2 6 6
direct
0.000 0.000 0.000
0.500 0.500 0.500
0.000 0.250 0.500
0.000 0.750 0.500
0.250 0.500 0.000
0.500 0.000 0.250
0.500 0.000 0.750
0.750 0.500 0.000
0.000 0.500 0.250
0.000 0.500 0.750
0.250 0.000 0.500
0.500 0.250 0.000
0.500 0.750 0.000
0.750 0.000 0.500